Tl2CoSe2O6 | Alexandria via LeMat-Bulk | PBE+U | optimized geometry; VASP energy = -5.052 eV per atom; space group = C2/m (12)
1.0
5.843 0.000 0.000
-2.921 4.569 0.104
0.000 -2.462 7.115
Tl Co Se O
2 1 2 6
Direct
0.714 0.429 0.167
0.286 0.571 0.833
0.500 0.000 0.500
0.900 0.799 0.722
0.100 0.201 0.278
0.741 0.482 0.529
0.219 0.972 0.297
0.247 0.028 0.703
0.781 0.028 0.703
0.753 0.972 0.297
0.259 0.518 0.471